[1]
## DyAgGe2Te4 (PBE-GGA)

Data for DyAgGe2Te4 after structural relaxation.

Final energy: -4.08 eV per atom
Crystal system: monoclinic
Formation energy without anion corrections: -423 meV per atom

a b c (Å): 7.3938 4.3018 7.5748
angles (deg): 90.00 109.83 90.00
Positions (direct):
Dy 0.0000 0.0000 0.0000
Ag 0.5000 0.5000 0.0000
Ge 0.0000 0.5000 0.5000
Ge 0.5000 0.0000 0.5000
Te 0.2498 0.5000 0.2615
Te 0.2508 0.0000 0.7469
Te 0.7492 0.0000 0.2531
Te 0.7502 0.5000 0.7385


[2]
## Dy2Ag3GeTe6 (PBE-GGA)

Data for Dy2Ag3GeTe6 after structural relaxation.

Final energy: -3.99 eV per atom
Crystal system: monoclinic
Formation energy without anion corrections: -556 meV per atom

a b c (Å): 10.4386 10.4386 8.2002
angles (deg): 102.07 102.07 23.38
Positions (direct):
Dy 0.1751 0.1751 0.3188
Dy 0.8249 0.8249 0.6812
Ag 0.2090 0.2090 0.8481
Ag 0.5000 0.5000 0.5000
Ag 0.7910 0.7910 0.1519
Ge 0.5000 0.5000 0.0000
Te 0.0163 0.0163 0.2682
Te 0.3298 0.3298 0.4102
Te 0.3516 0.3516 0.9583
Te 0.6484 0.6484 0.0417
Te 0.6702 0.6702 0.5898
Te 0.9837 0.9837 0.7318


[3]
## DyThAgGe (PBE-GGA)

Data for DyThAgGe after structural relaxation.

Final energy: -5.26 eV per atom
Crystal system: cubic
ΔH_f (0 K): -0.388 eV/atom

a b c (Å): 5.1712 5.1712 5.1712
angles (deg): 60.00 60.00 60.00
Positions (direct):
Dy 0.0000 0.0000 0.0000
Th 0.5000 0.5000 0.5000
Ag 0.7500 0.7500 0.7500
Ge 0.2500 0.2500 0.2500


[4]
## DyTmAgGe (PBE-GGA)

Data for DyTmAgGe after structural relaxation.

Final energy: -4.65 eV per atom
Crystal system: cubic
ΔH_f (0 K): -0.518 eV/atom

a b c (Å): 5.0472 5.0472 5.0472
angles (deg): 60.00 60.00 60.00
Positions (direct):
Dy 0.0000 0.0000 0.0000
Tm 0.5000 0.5000 0.5000
Ag 0.7500 0.7500 0.7500
Ge 0.2500 0.2500 0.2500


[5]
## DyZnAgGe (PBE-GGA)

Data for DyZnAgGe after structural relaxation.

Final energy: -3.65 eV per atom
Crystal system: cubic
ΔH_f (0 K): -0.309 eV/atom

a b c (Å): 4.8095 4.8095 4.8095
angles (deg): 60.00 60.00 60.00
Positions (direct):
Dy 0.0000 0.0000 0.0000
Zn 0.7500 0.7500 0.7500
Ag 0.5000 0.5000 0.5000
Ge 0.2500 0.2500 0.2500


[6]
## Dy3Ag5H12 (PBE-GGA)

Data for Dy3Ag5H12 after structural relaxation.

Final energy: -3.56 eV per atom
Crystal system: cubic

a b c (Å): 10.5695 10.5695 10.5695
angles (deg): 109.47 109.47 109.47
Positions (direct):
Dy 0.1250 0.2500 0.3750
Dy 0.1250 0.3750 0.7500
Dy 0.2500 0.3750 0.1250
Dy 0.2500 0.8750 0.6250
Dy 0.3750 0.1250 0.2500
Dy 0.3750 0.7500 0.1250
Dy 0.6250 0.2500 0.8750
Dy 0.6250 0.8750 0.7500
Dy 0.7500 0.1250 0.3750
Dy 0.7500 0.6250 0.8750
Dy 0.8750 0.6250 0.2500
Dy 0.8750 0.7500 0.6250
Ag 0.0000 0.0000 0.0000
Ag 0.0000 0.0000 0.5000
Ag 0.0000 0.5000 0.0000
Ag 0.0000 0.5000 0.5000
Ag 0.1250 0.7500 0.8750
Ag 0.1250 0.8750 0.2500
Ag 0.2500 0.1250 0.8750
Ag 0.2500 0.6250 0.3750
Ag 0.3750 0.2500 0.6250
Ag 0.3750 0.6250 0.7500
Ag 0.5000 0.0000 0.0000
Ag 0.5000 0.0000 0.5000
Ag 0.5000 0.5000 0.0000
Ag 0.5000 0.5000 0.5000
Ag 0.6250 0.3750 0.2500
Ag 0.6250 0.7500 0.3750
Ag 0.7500 0.3750 0.6250
Ag 0.7500 0.8750 0.1250
Ag 0.8750 0.1250 0.7500
Ag 0.8750 0.2500 0.1250
H 0.0447 0.2215 0.1363
H 0.0447 0.3232 0.9084
H 0.0852 0.7215 0.6768
H 0.0852 0.8637 0.4084
H 0.0916 0.6363 0.4148
H 0.0916 0.9553 0.6768
H 0.1363 0.0447 0.2215
H 0.1363 0.5916 0.9148
H 0.1768 0.2215 0.5852
H 0.1768 0.4553 0.5916
H 0.2215 0.1363 0.0447
H 0.2215 0.5852 0.1768
H 0.2785 0.3232 0.9148
H 0.2785 0.4553 0.3637
H 0.3232 0.9084 0.0447
H 0.3232 0.9148 0.2785
H 0.3637 0.2785 0.4553
H 0.3637 0.5852 0.9084
H 0.4084 0.0852 0.8637
H 0.4084 0.8232 0.5447
H 0.4148 0.0916 0.6363
H 0.4148 0.8232 0.7785
H 0.4553 0.3637 0.2785
H 0.4553 0.5916 0.1768
H 0.5447 0.4084 0.8232
H 0.5447 0.6363 0.7215
H 0.5852 0.1768 0.2215
H 0.5852 0.9084 0.3637
H 0.5916 0.1768 0.4553
H 0.5916 0.9148 0.1363
H 0.6363 0.4148 0.0916
H 0.6363 0.7215 0.5447
H 0.6768 0.0852 0.7215
H 0.6768 0.0916 0.9553
H 0.7215 0.5447 0.6363
H 0.7215 0.6768 0.0852
H 0.7785 0.4148 0.8232
H 0.7785 0.8637 0.9553
H 0.8232 0.5447 0.4084
H 0.8232 0.7785 0.4148
H 0.8637 0.4084 0.0852
H 0.8637 0.9553 0.7785
H 0.9084 0.0447 0.3232
H 0.9084 0.3637 0.5852
H 0.9148 0.1363 0.5916
H 0.9148 0.2785 0.3232
H 0.9553 0.6768 0.0916
H 0.9553 0.7785 0.8637


[7]
## DyAgH8Ir2 (PBE-GGA)

Data for DyAgH8Ir2 after structural relaxation.

Final energy: -4.45 eV per atom
Crystal system: monoclinic

a b c (Å): 4.8609 4.8609 5.9630
angles (deg): 109.62 109.62 53.49
Positions (direct):
Dy 0.0000 0.0000 0.0000
Ag 0.5000 0.5000 0.5000
H 0.0667 0.5690 0.1636
H 0.2317 0.2317 0.3816
H 0.4184 0.4184 0.8589
H 0.4310 0.9333 0.8364
H 0.5690 0.0667 0.1636
H 0.5816 0.5816 0.1411
H 0.7683 0.7683 0.6184
H 0.9333 0.4310 0.8364
Ir 0.2223 0.2223 0.6624
Ir 0.7777 0.7777 0.3376


[8]
## DyAgSbH (PBE-GGA)

Data for DyAgSbH after structural relaxation.

Final energy: -4.28 eV per atom
Crystal system: tetragonal

a b c (Å): 4.1915 4.1915 8.4272
angles (deg): 90.00 90.00 90.00
Positions (direct):
Dy 0.2500 0.2500 0.1287
Dy 0.7500 0.7500 0.8713
Ag 0.2500 0.7500 0.5000
Ag 0.7500 0.2500 0.5000
Sb 0.2500 0.2500 0.7345
Sb 0.7500 0.7500 0.2655
H 0.2500 0.7500 0.0000
H 0.7500 0.2500 0.0000


[9]
## DyHfAg (PBE-GGA)

Data for DyHfAg after structural relaxation.

Final energy: -5.92 eV per atom
Crystal system: orthorhombic
Polymorph energy (0 for the lowest one): 0.00 eV per formula unit
ΔH_f (0 K): -0.115 eV/atom

a b c (Å): 8.2624 8.2624 5.1521
angles (deg): 90.00 90.00 156.57
Positions (direct):
Dy 0.0945 0.9055 0.7500
Dy 0.9055 0.0945 0.2500
Hf 0.2284 0.7716 0.2500
Hf 0.7716 0.2284 0.7500
Ag 0.4262 0.5738 0.7500
Ag 0.5738 0.4262 0.2500


[10]
## DyHfAg2 (PBE-GGA)

Data for DyHfAg2 after structural relaxation.

Final energy: -5.14 eV per atom
Crystal system: tetragonal
Polymorph energy (0 for the lowest one): 0.00 eV per formula unit
ΔH_f (0 K): -0.072 eV/atom

a b c (Å): 3.4181 3.4181 7.4600
angles (deg): 90.00 90.00 90.00
Positions (direct):
Dy 0.0000 0.0000 0.0000
Hf 0.0000 0.0000 0.5000
Ag 0.5000 0.5000 0.2724
Ag 0.5000 0.5000 0.7276


[11]
## DyHfAg2 (PBE-GGA)

Data for DyHfAg2 after structural relaxation.

Final energy: -5.10 eV per atom
Crystal system: cubic
Polymorph energy (0 for the lowest one): 0.15 eV per formula unit
ΔH_f (0 K): -0.034 eV/atom

a b c (Å): 4.9800 4.9800 4.9800
angles (deg): 60.00 60.00 60.00
Positions (direct):
Dy 0.0000 0.0000 0.0000
Hf 0.5000 0.5000 0.5000
Ag 0.2500 0.2500 0.2500
Ag 0.7500 0.7500 0.7500


[12]
## DyHfAg (PBE-GGA)

Data for DyHfAg after structural relaxation.

Final energy: -5.85 eV per atom
Crystal system: tetragonal
Polymorph energy (0 for the lowest one): 0.20 eV per formula unit
ΔH_f (0 K): -0.047 eV/atom

a b c (Å): 6.6557 6.6557 6.6557
angles (deg): 150.80 150.80 41.77
Positions (direct):
Dy 0.0000 0.0000 0.0000
Hf 0.6799 0.6799 0.0000
Ag 0.3223 0.3223 0.0000


Which of these has the highest final energy?
Dy3Ag5H12


Copy entry 11 word for word.
## DyHfAg2 (PBE-GGA)

Data for DyHfAg2 after structural relaxation.

Final energy: -5.10 eV per atom
Crystal system: cubic
Polymorph energy (0 for the lowest one): 0.15 eV per formula unit
ΔH_f (0 K): -0.034 eV/atom

a b c (Å): 4.9800 4.9800 4.9800
angles (deg): 60.00 60.00 60.00
Positions (direct):
Dy 0.0000 0.0000 0.0000
Hf 0.5000 0.5000 0.5000
Ag 0.2500 0.2500 0.2500
Ag 0.7500 0.7500 0.7500


Which of these has the lowest final energy?
number 9